The following is a PBE-GGA calculation of a relaxed TaBe2Mo crystal, from Alexandria.

a = 2.7369 Å, b = 3.4572 Å, c = 5.4556 Å
α = 90.00°, β = 94.71°, γ = 90.00°
With the nearest neighbours (Å) after each atom.
Space group P2/m (No. 10)
Inequivalent atoms, fractional coordinates:
1 Ta 0.0000 0.0000 0.0000  8 Be 2.59-2.71, 2 Mo 2.73, 2 Ta 2.74
2 Be 0.4994 0.5000 0.7300  4 Mo 2.48-2.59, 3 Be 2.51-2.74, 4 Ta 2.59-2.71
3 Mo 0.0000 0.0000 0.5000  8 Be 2.48-2.59, 2 Ta 2.73, 2 Mo 2.74

* ΔE_f: 10 meV per atom
* excess energy over the best structure of this formula in the dataset: 0.98 eV per formula unit
* density of states at the Fermi level: 0.377 states/eV per atom
* mass density: 9.52 g/cm³

***

The following is a PBE-GGA calculation of a relaxed TaBe2Mo crystal, from Alexandria.

a = 2.7713 Å, b = 2.7713 Å, c = 25.2854 Å
α = 90.00°, β = 90.00°, γ = 120.00°
With the nearest neighbours (Å) after each atom.
Space group R3m (No. 160, hexagonal axes)
Inequivalent atoms, fractional coordinates:
1 Ta 0.0000 0.0000 0.0000  3 Be 2.70, 6 Ta 2.77, 3 Mo 2.98
2 Be 0.0000 0.0000 0.2475  3 Be 2.35
3 Be 0.0000 0.0000 0.5127  3 Be 2.35, 3 Mo 2.58
4 Mo 0.0000 0.0000 0.7660  3 Be 2.58, 6 Mo 2.77

* ΔE_f: 429 meV per atom
* excess energy over the best structure of this formula in the dataset: 2.66 eV per formula unit
* density of states at the Fermi level: 0.831 states/eV per atom
* mass density: 8.74 g/cm³

***

The following is a PBE-GGA calculation of a relaxed TaBeMo crystal, from Alexandria.

a = 2.7164 Å, b = 4.4281 Å, c = 7.2213 Å
α = 95.51°, β = 95.81°, γ = 91.16°
With the nearest neighbours (Å) after each atom.
Space group P-1 (No. 2)
Inequivalent atoms, fractional coordinates:
1 Ta 0.0239 0.3014 0.2999  4 Be 2.51-2.73, 2 Ta 2.72, 2 Mo 2.80-2.81
2 Be 0.4393 0.8131 0.3947  1 Be 2.13, 1 Mo 2.37
3 Mo 0.3229 0.2375 0.9135  1 Be 2.37, 1 Mo 2.65

* ΔE_f: -7 meV per atom
* excess energy over the best structure of this formula in the dataset: 0.49 eV per formula unit
* density of states at the Fermi level: 0.428 states/eV per atom
* mass density: 11.04 g/cm³

***

The following is a PBE-GGA calculation of a relaxed TaBe2Mo crystal, from Alexandria.

a = 3.3449 Å, b = 3.2805 Å, c = 9.0255 Å
α = 90.00°, β = 90.00°, γ = 90.00°
With the nearest neighbours (Å) after each atom.
Space group Amm2 (No. 38)
Inequivalent atoms, fractional coordinates:
1 Ta 0.0000 0.0000 0.0000  7 Be 2.48-2.60
2 Be 0.0000 0.0000 0.7236  2 Be 2.05
3 Be 0.5000 0.0000 0.5914  2 Be 2.05
4 Mo 0.5000 0.0000 0.3052  7 Be 2.46-2.58

* ΔE_f: -236 meV per atom
* excess energy over the best structure of this formula in the dataset: 0.00 eV per formula unit
* density of states at the Fermi level: 0.630 states/eV per atom
* mass density: 9.89 g/cm³

***

The following is a PBE-GGA calculation of a relaxed TaBeMo4 crystal, from Alexandria.

a = 7.3487 Å, b = 7.3487 Å, c = 7.3487 Å
α = 90.00°, β = 90.00°, γ = 90.00°
With the nearest neighbours (Å) after each atom.
Space group F-43m (No. 216)
Inequivalent atoms, fractional coordinates:
1 Ta 0.0000 0.0000 0.0000  12 Mo 3.05, 4 Be 3.18
2 Be 0.2500 0.2500 0.7500  12 Mo 3.04, 4 Ta 3.18
3 Mo 0.1241 0.1241 0.3759  6 Mo 2.58-2.62

* ΔE_f: 364 meV per atom
* density of states at the Fermi level: 0.872 states/eV per atom
* mass density: 9.60 g/cm³

***

The following is a PBE-GGA calculation of a relaxed TaBeMo2 crystal, from Alexandria.

a = 3.3525 Å, b = 4.3138 Å, c = 8.1357 Å
α = 90.00°, β = 90.00°, γ = 90.00°
With the nearest neighbours (Å) after each atom.
Space group Cmmm (No. 65)
Inequivalent atoms, fractional coordinates:
1 Ta 0.0000 0.0000 0.0000  4 Ta 2.73, 4 Mo 2.87
2 Be 0.0000 0.0000 0.5000  4 Mo 2.42
3 Mo 0.0000 0.5000 0.2856  2 Be 2.42

* ΔE_f: 15 meV per atom
* density of states at the Fermi level: 0.630 states/eV per atom
* mass density: 10.78 g/cm³

***

The following is a PBE-GGA calculation of a relaxed Ta2BeMo crystal, from Alexandria.

a = 8.8389 Å, b = 3.2410 Å, c = 4.5748 Å
α = 90.00°, β = 107.30°, γ = 90.00°
With the nearest neighbours (Å) after each atom.
Space group Cm (No. 8)
Inequivalent atoms, fractional coordinates:
1 Ta 0.0000 0.0000 0.0000  3 Be 2.63-2.77, 2 Mo 2.68, 3 Ta 2.74-2.86
2 Ta 0.2299 0.0000 0.7100  3 Mo 2.71-2.82, 3 Ta 2.74-2.86, 4 Be 2.78-2.82
3 Be 0.2405 0.5000 0.2214  2 Mo 2.52, 7 Ta 2.63-2.82
4 Mo 0.4645 0.0000 0.4412  2 Be 2.52, 5 Ta 2.68-2.82

* ΔE_f: 124 meV per atom
* density of states at the Fermi level: 0.876 states/eV per atom
* mass density: 12.39 g/cm³

***

The following is a PBE-GGA calculation of a relaxed Ta2BeMo crystal, from Alexandria.

a = 2.7666 Å, b = 4.4931 Å, c = 5.1783 Å
α = 90.00°, β = 98.88°, γ = 90.00°
With the nearest neighbours (Å) after each atom.
Space group Pm (No. 6)
Inequivalent atoms, fractional coordinates:
1 Ta 0.0000 0.0000 0.0000  2 Be 2.74, 3 Mo 2.74-3.00, 4 Ta 2.77-2.84
2 Ta 0.2857 0.5000 0.7240  2 Mo 2.70, 3 Be 2.71-2.95, 4 Ta 2.77-2.84
3 Be 0.7018 0.5000 0.2331  2 Mo 2.68, 5 Ta 2.71-2.95, 2 Be 2.77
4 Mo 0.5452 0.0000 0.4897  2 Be 2.68, 5 Ta 2.70-3.00, 2 Mo 2.77

* ΔE_f: 157 meV per atom
* density of states at the Fermi level: 0.927 states/eV per atom
* mass density: 12.19 g/cm³

***

The following is a PBE-GGA calculation of a relaxed Ta2BeMo crystal, from Alexandria.

a = 2.7496 Å, b = 4.4103 Å, c = 5.3043 Å
α = 90.00°, β = 98.62°, γ = 90.00°
With the nearest neighbours (Å) after each atom.
Space group P2/m (No. 10)
Inequivalent atoms, fractional coordinates:
1 Ta 0.2455 0.0000 0.2524  2 Be 2.70, 2 Mo 2.72, 4 Ta 2.75-2.81
2 Be 0.0000 0.5000 0.5000  4 Ta 2.70, 2 Be 2.75, 2 Mo 2.80
3 Mo 0.5000 0.5000 0.0000  4 Ta 2.72, 2 Mo 2.75, 2 Be 2.80

* ΔE_f: 149 meV per atom
* density of states at the Fermi level: 0.728 states/eV per atom
* mass density: 12.19 g/cm³

***

The following is a PBE-GGA calculation of a relaxed TaBe2Mo crystal, from Alexandria.

a = 5.4316 Å, b = 6.9712 Å, c = 2.7299 Å
α = 90.00°, β = 94.35°, γ = 90.00°
With the nearest neighbours (Å) after each atom.
Space group C2/m (No. 12)
Inequivalent atoms, fractional coordinates:
1 Ta 0.0000 0.0000 0.0000  8 Be 2.54-2.65, 2 Mo 2.72, 2 Ta 2.73
2 Be 0.2500 0.2500 0.5000  4 Ta 2.54-2.65, 4 Mo 2.54-2.65, 4 Be 2.72-2.73
3 Mo 0.0000 0.5000 0.0000  8 Be 2.54-2.65, 2 Ta 2.72, 2 Mo 2.73

* ΔE_f: 31 meV per atom
* excess energy over the best structure of this formula in the dataset: 1.07 eV per formula unit
* density of states at the Fermi level: 0.482 states/eV per atom
* mass density: 9.50 g/cm³

***

The following is a PBE-GGA calculation of a relaxed TaBe2Mo2 crystal, from Alexandria.

a = 6.3287 Å, b = 6.3287 Å, c = 3.2583 Å
α = 90.00°, β = 90.00°, γ = 90.00°
With the nearest neighbours (Å) after each atom.
Space group P4/mbm (No. 127)
Inequivalent atoms, fractional coordinates:
1 Ta 0.0000 0.0000 0.0000  4 Be 2.54, 8 Mo 2.84
2 Be 0.1149 0.3851 0.0000  1 Be 2.06
3 Mo 0.1770 0.6770 0.5000  6 Be 2.47-2.49

* ΔE_f: -273 meV per atom
* density of states at the Fermi level: 0.415 states/eV per atom
* mass density: 9.95 g/cm³

***

The following is a PBE-GGA calculation of a relaxed Ta2BeMo crystal, from Alexandria.

a = 7.1319 Å, b = 7.1319 Å, c = 5.0898 Å
α = 90.00°, β = 90.00°, γ = 90.00°
With the nearest neighbours (Å) after each atom.
Space group I-42d (No. 122)
Inequivalent atoms, fractional coordinates:
1 Ta 0.2145 0.2500 0.1250  2 Be 2.43, 2 Ta 2.59
2 Be 0.0000 0.0000 0.0000  4 Ta 2.43, 2 Mo 2.54
3 Mo 0.0000 0.0000 0.5000  2 Be 2.54, 4 Ta 2.78

* ΔE_f: 629 meV per atom
* density of states at the Fermi level: 0.581 states/eV per atom
* mass density: 11.98 g/cm³

***

The following is a PBE-GGA calculation of a relaxed TaBe2Mo crystal, from Alexandria.

a = 3.6916 Å, b = 3.9819 Å, c = 6.9906 Å
α = 90.00°, β = 90.00°, γ = 90.00°
With the nearest neighbours (Å) after each atom.
Space group Immm (No. 71)
Inequivalent atoms, fractional coordinates:
1 Ta 0.0000 0.0000 0.0000  8 Be 2.55-2.64, 4 Mo 2.71
2 Be 0.0000 0.5000 0.2483  4 Mo 2.53-2.66, 4 Ta 2.55-2.64, 4 Be 2.72
3 Mo 0.0000 0.0000 0.5000  8 Be 2.53-2.66, 4 Ta 2.71

* ΔE_f: -15 meV per atom
* excess energy over the best structure of this formula in the dataset: 0.88 eV per formula unit
* density of states at the Fermi level: 0.288 states/eV per atom
* mass density: 9.53 g/cm³

***

The following is a PBE-GGA calculation of a relaxed TaBeMo2 crystal, from Alexandria.

a = 3.3543 Å, b = 4.3405 Å, c = 8.1080 Å
α = 90.00°, β = 90.00°, γ = 90.00°
With the nearest neighbours (Å) after each atom.
Space group Cmm2 (No. 35)
Inequivalent atoms, fractional coordinates:
1 Ta 0.0000 0.0000 0.0000  2 Be 2.50, 4 Ta 2.74
2 Be 0.0000 0.5000 0.7710  2 Mo 2.41, 2 Ta 2.50
3 Mo 0.0000 0.0000 0.5575  2 Be 2.41
4 Mo 0.0000 0.5000 0.2834  6 Mo 2.74-2.78, 2 Ta 2.84

* ΔE_f: 50 meV per atom
* density of states at the Fermi level: 0.559 states/eV per atom
* mass density: 10.74 g/cm³

***

The following is a PBE-GGA calculation of a relaxed TaBeMo2 crystal, from Alexandria.

a = 7.0352 Å, b = 7.0352 Å, c = 4.9683 Å
α = 90.00°, β = 90.00°, γ = 90.00°
With the nearest neighbours (Å) after each atom.
Space group I-42d (No. 122)
Inequivalent atoms, fractional coordinates:
1 Ta 0.0000 0.0000 0.0000  2 Be 2.48
2 Be 0.0000 0.0000 0.5000  4 Mo 2.33, 2 Ta 2.48
3 Mo 0.1987 0.2500 0.6250  2 Be 2.33, 2 Mo 2.59

* ΔE_f: 548 meV per atom
* density of states at the Fermi level: 0.765 states/eV per atom
* mass density: 10.31 g/cm³

***

The following is a PBE-GGA calculation of a relaxed Ta2BeMo crystal, from Alexandria.

a = 3.5649 Å, b = 4.4429 Å, c = 7.9482 Å
α = 90.00°, β = 90.00°, γ = 90.00°
With the nearest neighbours (Å) after each atom.
Space group Immm (No. 71)
Inequivalent atoms, fractional coordinates:
1 Ta 0.0000 0.0000 0.2459  2 Be 2.65, 4 Mo 2.69-2.96, 4 Ta 2.85
2 Be 0.0000 0.5000 0.5000  4 Ta 2.65, 4 Mo 2.85
3 Mo 0.0000 0.5000 0.0000  8 Ta 2.69-2.96, 4 Be 2.85

* ΔE_f: 116 meV per atom
* density of states at the Fermi level: 0.640 states/eV per atom
* mass density: 12.32 g/cm³

***

The following is a PBE-GGA calculation of a relaxed TaBeMo crystal, from Alexandria.

a = 8.2300 Å, b = 4.1749 Å, c = 5.3393 Å
α = 90.00°, β = 110.09°, γ = 90.00°
With the nearest neighbours (Å) after each atom.
Space group Cm (No. 8)
Inequivalent atoms, fractional coordinates:
1 Ta 0.0000 0.0000 0.0000  5 Be 2.49-2.73, 4 Mo 2.68-2.77
2 Ta 0.2469 0.0000 0.5958  3 Be 2.56-2.65, 5 Mo 2.71-2.80
3 Be 0.0712 0.5000 0.3356  1 Be 2.03
4 Be 0.3183 0.0000 0.1011  1 Be 2.03
5 Mo 0.1420 0.5000 0.8274  3 Be 2.49-2.67, 5 Ta 2.70-2.77
6 Mo 0.3844 0.5000 0.4120  5 Be 2.47-2.71, 3 Ta 2.68-2.71

* ΔE_f: -3 meV per atom
* excess energy over the best structure of this formula in the dataset: 0.51 eV per formula unit
* density of states at the Fermi level: 0.647 states/eV per atom
* mass density: 11.02 g/cm³

***

The following is a PBE-GGA calculation of a relaxed TaBe2Mo crystal, from Alexandria.

a = 9.2575 Å, b = 2.5843 Å, c = 4.5095 Å
α = 90.00°, β = 107.28°, γ = 90.00°
With the nearest neighbours (Å) after each atom.
Space group Cm (No. 8)
Inequivalent atoms, fractional coordinates:
1 Ta 0.0000 0.0000 0.0000  7 Be 2.58-2.67, 2 Ta 2.58, 1 Mo 2.83
2 Be 0.2600 0.5000 0.1807  2 Be 2.25
3 Be 0.4465 0.0000 0.4743  2 Be 2.25
4 Mo 0.2054 0.0000 0.6449  7 Be 2.57-2.65, 2 Mo 2.58, 1 Ta 2.83

* ΔE_f: 63 meV per atom
* excess energy over the best structure of this formula in the dataset: 1.19 eV per formula unit
* density of states at the Fermi level: 0.418 states/eV per atom
* mass density: 9.51 g/cm³

***

The following is a PBE-GGA calculation of a relaxed Ta2BeMo crystal, from Alexandria.

a = 8.6370 Å, b = 3.3889 Å, c = 4.5897 Å
α = 90.00°, β = 110.94°, γ = 90.00°
With the nearest neighbours (Å) after each atom.
Space group C2/m (No. 12)
Inequivalent atoms, fractional coordinates:
1 Ta 0.2406 0.0000 0.2320  3 Be 2.60-2.80, 3 Mo 2.73-2.77, 2 Ta 2.77
2 Be 0.0000 0.5000 0.0000  6 Ta 2.60-2.80, 4 Mo 2.85
3 Mo 0.0000 0.0000 0.5000  6 Ta 2.73-2.77, 4 Be 2.85

* ΔE_f: 111 meV per atom
* density of states at the Fermi level: 0.546 states/eV per atom
* mass density: 12.36 g/cm³

***

The following is a PBE-GGA calculation of a relaxed TaBe2Mo crystal, from Alexandria.

a = 3.6138 Å, b = 4.0285 Å, c = 7.0456 Å
α = 90.00°, β = 90.00°, γ = 90.00°
With the nearest neighbours (Å) after each atom.
Space group Cmm2 (No. 35)
Inequivalent atoms, fractional coordinates:
1 Ta 0.0000 0.0000 0.0000  4 Be 2.55-2.71, 4 Ta 2.71
2 Be 0.0000 0.0000 0.4132  4 Be 2.12-2.30
3 Be 0.0000 0.5000 0.2564  4 Be 2.12-2.30
4 Mo 0.0000 0.5000 0.6587  4 Be 2.50-2.66, 4 Mo 2.71

* ΔE_f: 46 meV per atom
* excess energy over the best structure of this formula in the dataset: 1.13 eV per formula unit
* density of states at the Fermi level: 0.307 states/eV per atom
* mass density: 9.55 g/cm³